1.
This record from Alexandria via LeMat-Bulk describes a geometry-optimized TiBeNF2 structure. The functional is PBE.

a = 3.895 Å, b = 3.895 Å, c = 4.017 Å
α = 90.00°, β = 90.00°, γ = 90.00°
Space group P4/mmm (No. 123)
Inequivalent atoms, fractional coordinates:
Ti 0.000 0.000 0.000 (multiplicity 1)
Be 0.500 0.500 0.500 (multiplicity 1)
N 0.000 0.000 0.500 (multiplicity 1)
F 0.000 0.500 0.000 (multiplicity 2)

Summary:
The value obtained for the energy relative to the elements, uncorrected is -1.11 eV per atom. The relative energy among the computed polymorphs is 690 meV/atom.



2.
This record from Alexandria via LeMat-Bulk describes a geometry-optimized LiPm4Ho3Se8 structure. The functional is PBE.

a = 8.1944 Å, b = 8.1944 Å, c = 20.3340 Å
α = 90.00°, β = 90.00°, γ = 120.00°
Space group R-3m (No. 166, hexagonal axes)
Inequivalent atoms, fractional coordinates:
Li 0.0000 0.0000 0.0000 (multiplicity 3)
Pm 0.0000 0.0000 0.5000 (multiplicity 3)
Pm 0.0000 0.5000 0.5000 (multiplicity 9)
Ho 0.0000 0.5000 0.0000 (multiplicity 9)
Se 0.0000 0.0000 0.2543 (multiplicity 6)
Se 0.0060 0.5030 0.7443 (multiplicity 18)

Summary:
The value obtained for the energy relative to the elements, uncorrected is -1.77 eV per atom.



3.
This record from Alexandria via LeMat-Bulk describes a geometry-optimized NbFe3 structure. The functional is PBE.

a = 3.569 Å, b = 3.569 Å, c = 8.280 Å
α = 90.00°, β = 90.00°, γ = 90.00°
Space group I4/mmm (No. 139)
Inequivalent atoms, fractional coordinates:
Nb 0.000 0.000 0.000 (multiplicity 2)
Fe 0.000 0.000 0.500 (multiplicity 2)
Fe 0.000 0.500 0.250 (multiplicity 4)

Summary:
For the formation energy, the calculation gives 0.027 eV per atom.



4.
This record from Alexandria via LeMat-Bulk describes a geometry-optimized CaMgIn2Ir structure. The functional is PBE.

a = 5.170 Å, b = 5.170 Å, c = 5.022 Å
α = 90.00°, β = 90.00°, γ = 90.00°
Space group P4/mmm (No. 123)
Inequivalent atoms, fractional coordinates:
Ca 0.000 0.000 0.000 (multiplicity 1)
Mg 0.500 0.500 0.000 (multiplicity 1)
In 0.000 0.500 0.500 (multiplicity 2)
Ir 0.500 0.500 0.500 (multiplicity 1)

Summary:
For the formation energy, the calculation gives -0.205 eV per atom.



5.
This record from Alexandria via LeMat-Bulk describes a geometry-optimized Mg3Al2Ga2 structure. The functional is PBE.

a = 3.203 Å, b = 4.441 Å, c = 18.966 Å
α = 90.00°, β = 90.00°, γ = 90.00°
Space group Immm (No. 71)
Inequivalent atoms, fractional coordinates:
Mg 0.000 0.000 0.000 (multiplicity 2)
Mg 0.000 0.500 0.203 (multiplicity 4)
Al 0.000 0.000 0.431 (multiplicity 4)
Ga 0.000 0.500 0.355 (multiplicity 4)

Summary:
For the formation energy, the calculation gives -0.071 eV per atom.



6.
This record from Alexandria via LeMat-Bulk describes a geometry-optimized Ba2MgHgP structure. The functional is PBE.

a = 6.296 Å, b = 6.296 Å, c = 4.865 Å
α = 90.00°, β = 90.00°, γ = 90.00°
Space group P4/mmm (No. 123)
Inequivalent atoms, fractional coordinates:
Ba 0.000 0.500 0.000 (multiplicity 2)
Mg 0.000 0.000 0.500 (multiplicity 1)
Hg 0.500 0.500 0.500 (multiplicity 1)
P 0.000 0.000 0.000 (multiplicity 1)

Summary:
For the formation energy, the calculation gives -0.489 eV per atom.